# GaCoHgW PBE-GGA relaxed
# offset from the most stable computed form	0	meV/atom
data_GaCoHgW
_cell_length_a 4.464
_cell_length_b 4.464
_cell_length_c 4.464
_cell_angle_alpha 60.00
_cell_angle_beta 60.00
_cell_angle_gamma 60.00
_symmetry_space_group_name_H-M 'P 1'
_symmetry_Int_Tables_number 1
loop_
_symmetry_equiv_pos_as_xyz
'x,y,z'
loop_
_atom_site_label
_atom_site_type_symbol
_atom_site_fract_x
_atom_site_fract_y
_atom_site_fract_z
Co1 Co 0.750 0.750 0.750
Ga1 Ga 0.000 0.000 0.000
Hg1 Hg 0.500 0.500 0.500
W1 W 0.250 0.250 0.250



# ZrGaCoHg PBE-GGA relaxed
# offset from the most stable computed form	0	meV/atom
data_ZrGaCoHg
_cell_length_a 4.593
_cell_length_b 4.593
_cell_length_c 4.593
_cell_angle_alpha 60.00
_cell_angle_beta 60.00
_cell_angle_gamma 60.00
_symmetry_space_group_name_H-M 'P 1'
_symmetry_Int_Tables_number 1
loop_
_symmetry_equiv_pos_as_xyz
'x,y,z'
loop_
_atom_site_label
_atom_site_type_symbol
_atom_site_fract_x
_atom_site_fract_y
_atom_site_fract_z
Co1 Co 0.750 0.750 0.750
Ga1 Ga 0.000 0.000 0.000
Hg1 Hg 0.500 0.500 0.500
Zr1 Zr 0.250 0.250 0.250



# ZrGaCoHg PBE-GGA relaxed
# offset from the most stable computed form	30	meV/atom
data_ZrGaCoHg
_cell_length_a 4.611
_cell_length_b 4.611
_cell_length_c 4.611
_cell_angle_alpha 60.00
_cell_angle_beta 60.00
_cell_angle_gamma 60.00
_symmetry_space_group_name_H-M 'P 1'
_symmetry_Int_Tables_number 1
loop_
_symmetry_equiv_pos_as_xyz
'x,y,z'
loop_
_atom_site_label
_atom_site_type_symbol
_atom_site_fract_x
_atom_site_fract_y
_atom_site_fract_z
Co1 Co 0.750 0.750 0.750
Ga1 Ga 0.000 0.000 0.000
Hg1 Hg 0.250 0.250 0.250
Zr1 Zr 0.500 0.500 0.500



# HoGaCo PBE-GGA relaxed
# VASP energy	-5.16	eV per atom
data_HoGaCo
_cell_length_a 4.338
_cell_length_b 4.338
_cell_length_c 4.338
_cell_angle_alpha 60.00
_cell_angle_beta 60.00
_cell_angle_gamma 60.00
_symmetry_space_group_name_H-M 'P 1'
_symmetry_Int_Tables_number 1
loop_
_symmetry_equiv_pos_as_xyz
'x,y,z'
loop_
_atom_site_label
_atom_site_type_symbol
_atom_site_fract_x
_atom_site_fract_y
_atom_site_fract_z
Co1 Co 0.000 0.000 0.000
Ga1 Ga 0.250 0.250 0.250
Ho1 Ho 0.750 0.750 0.750



# Ho8Ga3Co PBE-GGA relaxed
# VASP energy	-4.81	eV per atom
data_Ho8Ga3Co
_cell_length_a 9.969
_cell_length_b 9.969
_cell_length_c 6.881
_cell_angle_alpha 90.00
_cell_angle_beta 90.00
_cell_angle_gamma 120.00
_symmetry_space_group_name_H-M 'P 1'
_symmetry_Int_Tables_number 1
loop_
_symmetry_equiv_pos_as_xyz
'x,y,z'
loop_
_atom_site_label
_atom_site_type_symbol
_atom_site_fract_x
_atom_site_fract_y
_atom_site_fract_z
Co1 Co 0.333 0.667 0.058
Co2 Co 0.667 0.333 0.558
Ga1 Ga 0.327 0.163 0.039
Ga2 Ga 0.837 0.163 0.039
Ga3 Ga 0.837 0.673 0.039
Ga4 Ga 0.163 0.327 0.539
Ga5 Ga 0.163 0.837 0.539
Ga6 Ga 0.673 0.837 0.539
Ho1 Ho 0.667 0.333 0.172
Ho2 Ho 0.000 0.000 0.268
Ho3 Ho 0.464 0.928 0.292
Ho4 Ho 0.072 0.536 0.292
Ho5 Ho 0.464 0.536 0.292
Ho6 Ho 0.346 0.173 0.490
Ho7 Ho 0.827 0.173 0.490
Ho8 Ho 0.827 0.654 0.490
Ho9 Ho 0.333 0.667 0.672
Ho10 Ho 0.000 0.000 0.768
Ho11 Ho 0.536 0.072 0.792
Ho12 Ho 0.536 0.464 0.792
Ho13 Ho 0.928 0.464 0.792
Ho14 Ho 0.173 0.827 0.990
Ho15 Ho 0.654 0.827 0.990
Ho16 Ho 0.173 0.346 0.990



# Ho3GaCo3 PBE-GGA relaxed
# VASP energy	-5.81	eV per atom
data_Ho3GaCo3
_cell_length_a 5.363
_cell_length_b 5.363
_cell_length_c 12.864
_cell_angle_alpha 90.00
_cell_angle_beta 90.00
_cell_angle_gamma 135.74
_symmetry_space_group_name_H-M 'P 1'
_symmetry_Int_Tables_number 1
loop_
_symmetry_equiv_pos_as_xyz
'x,y,z'
loop_
_atom_site_label
_atom_site_type_symbol
_atom_site_fract_x
_atom_site_fract_y
_atom_site_fract_z
Co1 Co 0.584 0.416 0.094
Co2 Co 0.707 0.293 0.250
Co3 Co 0.584 0.416 0.406
Co4 Co 0.416 0.584 0.594
Co5 Co 0.293 0.707 0.750
Co6 Co 0.416 0.584 0.906
Ga1 Ga 0.000 0.000 0.000
Ga2 Ga 0.000 0.000 0.500
Ho1 Ho 0.294 0.706 0.104
Ho2 Ho 0.007 0.993 0.250
Ho3 Ho 0.294 0.706 0.396
Ho4 Ho 0.706 0.294 0.604
Ho5 Ho 0.993 0.007 0.750
Ho6 Ho 0.706 0.294 0.896



- Number 6 is which compound?
  Ho3GaCo3



Copy entry 2 word for word.
# ZrGaCoHg PBE-GGA relaxed
# offset from the most stable computed form	0	meV/atom
data_ZrGaCoHg
_cell_length_a 4.593
_cell_length_b 4.593
_cell_length_c 4.593
_cell_angle_alpha 60.00
_cell_angle_beta 60.00
_cell_angle_gamma 60.00
_symmetry_space_group_name_H-M 'P 1'
_symmetry_Int_Tables_number 1
loop_
_symmetry_equiv_pos_as_xyz
'x,y,z'
loop_
_atom_site_label
_atom_site_type_symbol
_atom_site_fract_x
_atom_site_fract_y
_atom_site_fract_z
Co1 Co 0.750 0.750 0.750
Ga1 Ga 0.000 0.000 0.000
Hg1 Hg 0.500 0.500 0.500
Zr1 Zr 0.250 0.250 0.250



Copy entry 5 word for word.
# Ho8Ga3Co PBE-GGA relaxed
# VASP energy	-4.81	eV per atom
data_Ho8Ga3Co
_cell_length_a 9.969
_cell_length_b 9.969
_cell_length_c 6.881
_cell_angle_alpha 90.00
_cell_angle_beta 90.00
_cell_angle_gamma 120.00
_symmetry_space_group_name_H-M 'P 1'
_symmetry_Int_Tables_number 1
loop_
_symmetry_equiv_pos_as_xyz
'x,y,z'
loop_
_atom_site_label
_atom_site_type_symbol
_atom_site_fract_x
_atom_site_fract_y
_atom_site_fract_z
Co1 Co 0.333 0.667 0.058
Co2 Co 0.667 0.333 0.558
Ga1 Ga 0.327 0.163 0.039
Ga2 Ga 0.837 0.163 0.039
Ga3 Ga 0.837 0.673 0.039
Ga4 Ga 0.163 0.327 0.539
Ga5 Ga 0.163 0.837 0.539
Ga6 Ga 0.673 0.837 0.539
Ho1 Ho 0.667 0.333 0.172
Ho2 Ho 0.000 0.000 0.268
Ho3 Ho 0.464 0.928 0.292
Ho4 Ho 0.072 0.536 0.292
Ho5 Ho 0.464 0.536 0.292
Ho6 Ho 0.346 0.173 0.490
Ho7 Ho 0.827 0.173 0.490
Ho8 Ho 0.827 0.654 0.490
Ho9 Ho 0.333 0.667 0.672
Ho10 Ho 0.000 0.000 0.768
Ho11 Ho 0.536 0.072 0.792
Ho12 Ho 0.536 0.464 0.792
Ho13 Ho 0.928 0.464 0.792
Ho14 Ho 0.173 0.827 0.990
Ho15 Ho 0.654 0.827 0.990
Ho16 Ho 0.173 0.346 0.990